1.
First-principles (PBE) data for a relaxed structure of Fe2RuW, as listed in Alexandria.

Lattice parameters (Å, degrees): 3.0618 4.1788 8.3753 90.00 90.00 90.00
Space group Imm2 (No. 44)
Unique sites:
Fe 0.0000 0.0000 0.0000 (multiplicity 2)
Fe 0.0000 0.5000 0.2654 (multiplicity 2)
Ru 0.0000 0.5000 0.7565 (multiplicity 2)
W 0.0000 0.0000 0.5151 (multiplicity 2)

Calculated density (g/cm³): 12.29
Size of the total moment (Bohr magnetons per cell): 9.96
Formation enthalpy at 0 K (eV per atom): 0.085

---

2.
First-principles (PBE) data for a relaxed structure of FeRu2W, as listed in Alexandria.

Lattice parameters (Å, degrees): 8.7934 2.7201 4.7237 90.00 99.62 90.00
Space group C2/m (No. 12)
Unique sites:
Fe 0.0000 0.0000 0.0000 (multiplicity 2)
Ru 0.2461 0.5000 0.2315 (multiplicity 4)
W 0.0000 0.5000 0.5000 (multiplicity 2)

Calculated density (g/cm³): 13.17
Size of the total moment (Bohr magnetons per cell): 3.37
Formation enthalpy at 0 K (eV per atom): 0.105

---

3.
First-principles (PBE) data for a relaxed structure of Fe2RuW, as listed in Alexandria.

Lattice parameters (Å, degrees): 5.1675 8.4338 2.6519 90.00 109.29 90.00
Space group C2/m (No. 12)
Unique sites:
Fe 0.2500 0.2500 0.0000 (multiplicity 4)
Ru 0.0000 0.0000 0.5000 (multiplicity 2)
W 0.0000 0.5000 0.5000 (multiplicity 2)

Calculated density (g/cm³): 12.07
Size of the total moment (Bohr magnetons per cell): 10.46
Formation enthalpy at 0 K (eV per atom): 0.182

---

4.
First-principles (PBE) data for a relaxed structure of Fe2RuW, as listed in Alexandria.

Lattice parameters (Å, degrees): 2.6686 2.6686 26.0257 90.00 90.00 120.00
Space group R-3m (No. 166, hexagonal axes)
Unique sites:
Fe 0.0000 0.0000 0.2473 (multiplicity 6)
Ru 0.0000 0.0000 0.5000 (multiplicity 3)
W 0.0000 0.0000 0.0000 (multiplicity 3)

Calculated density (g/cm³): 12.31
Size of the total moment (Bohr magnetons per cell): 9.96
Formation enthalpy at 0 K (eV per atom): 0.288

---

no.,total energy (eV for the cell shown)
1,-77.63
2,-79.10
3,-76.85
4,-114.01